VASP calculation (GGA+U) on Co3RuO after structural relaxation.

The space group is Pm-3m (No. 221) and the conventional cell measures 4.582, 4.582 and 4.582 Å, with angles of 90.00, 90.00 and 90.00 degrees. The asymmetric unit holds Co at (0.000, 0.000, 0.500), Ru at (0.000, 0.000, 0.000) and O at (0.500, 0.500, 0.500).

Its size of the total moment is 9.1 μB/f.u. The value obtained for the total energy is -0.1486 hartree per atom. The energy above the lowest structure with this stoichiometry is 1554 meV/atom.